## w
! YBrCl2 meta-GGA SCAN PBEsol geometry; values from VASP
&SYSTEM
  ibrav = 0, nat = 4, ntyp = 3
/
ATOMIC_SPECIES
Cl 35.45 Cl.upf
Br 79.90 Br.upf
Y 88.91 Y.upf
CELL_PARAMETERS angstrom
-2.247 -1.467 2.844
4.493 -0.869 3.101
-2.838 6.057 0.883
ATOMIC_POSITIONS angstrom
Cl -1.587 4.630 1.135
Cl 3.242 0.558 2.849
Br -0.296 1.860 3.414
Y -2.543 2.295 1.863
! Crystal system   orthorhombic
! Spin magnetization   0.000 μB per atom
! Space group   Cmmm


## x
! YBrCl2 meta-GGA SCAN PBEsol geometry; values from VASP
&SYSTEM
  ibrav = 0, nat = 4, ntyp = 3
/
ATOMIC_SPECIES
Br 79.90 Br.upf
Cl 35.45 Cl.upf
Y 88.91 Y.upf
CELL_PARAMETERS angstrom
-2.261 3.560 1.640
-2.254 -4.630 0.701
3.470 0.938 2.748
ATOMIC_POSITIONS angstrom
Br 0.000 0.000 0.000
Cl 0.910 -0.722 2.822
Cl -1.955 0.589 2.268
Y 0.605 2.249 2.194
! Crystal system   tetragonal
! Spin magnetization   0.000 μB per atom
! Space group   I4/mmm


## y
! YBrCl2 meta-GGA SCAN PBEsol geometry; values from VASP
&SYSTEM
  ibrav = 0, nat = 4, ntyp = 3
/
ATOMIC_SPECIES
Br 79.90 Br.upf
Cl 35.45 Cl.upf
Y 88.91 Y.upf
CELL_PARAMETERS angstrom
4.234 0.047 0.000
-0.546 4.786 0.000
-1.844 -2.416 4.758
ATOMIC_POSITIONS angstrom
Br -0.273 2.393 0.000
Cl 0.922 1.208 2.379
Cl -0.922 -1.208 2.379
Y 2.117 0.023 0.000
! Crystal system   monoclinic
! Spin magnetization   0.000 μB per atom
! Space group   C2/m


## z
! YBrCl2 meta-GGA SCAN PBEsol geometry; values from VASP
&SYSTEM
  ibrav = 0, nat = 4, ntyp = 3
/
ATOMIC_SPECIES
Br 79.90 Br.upf
Cl 35.45 Cl.upf
Y 88.91 Y.upf
CELL_PARAMETERS angstrom
-3.549 0.044 0.905
2.629 -5.061 3.142
0.470 6.334 1.538
ATOMIC_POSITIONS angstrom
Br 0.664 2.839 2.469
Cl -0.887 -4.550 4.154
Y 0.988 -2.708 4.006
Cl -1.046 -1.155 3.364
! Crystal system   monoclinic
! Spin magnetization   0.000 μB per atom
! Space group   Cm


Energies in meV per atom, measured from the most stable structure: w 0; x 582; y 969; z 15.


## w
! ZnBrCl2 meta-GGA SCAN PBEsol geometry; values from VASP
&SYSTEM
  ibrav = 0, nat = 8, ntyp = 3
/
ATOMIC_SPECIES
Br 79.90 Br.upf
Cl 35.45 Cl.upf
Zn 65.41 Zn.upf
CELL_PARAMETERS angstrom
6.363 0.361 0.542
-2.499 5.864 -0.542
-2.499 -2.761 5.201
ATOMIC_POSITIONS angstrom
Br 0.000 0.000 0.000
Cl -1.633 3.170 3.691
Br 0.683 3.888 1.165
Cl -1.432 -0.280 3.183
Cl 4.047 2.968 0.853
Cl 1.750 1.069 2.676
Zn 0.683 -0.424 4.036
Zn -2.499 1.551 2.330
! Crystal system   tetragonal
! Spin magnetization   0.251 μB per atom
! Space group   I-42d


## x
! ZnBrCl2 meta-GGA SCAN PBEsol geometry; values from VASP
&SYSTEM
  ibrav = 0, nat = 4, ntyp = 3
/
ATOMIC_SPECIES
Zn 65.41 Zn.upf
Cl 35.45 Cl.upf
Br 79.90 Br.upf
CELL_PARAMETERS angstrom
-0.642 -3.612 0.555
3.069 -0.191 2.312
-3.568 1.380 4.851
ATOMIC_POSITIONS angstrom
Zn 1.213 -1.901 1.433
Cl 0.000 0.000 0.000
Br -0.250 0.594 3.581
Cl -2.105 -1.116 2.703
! Crystal system   orthorhombic
! Spin magnetization   0.000 μB per atom
! Space group   Pmmm


## y
! ZnBrCl2 meta-GGA SCAN PBEsol geometry; values from VASP
&SYSTEM
  ibrav = 0, nat = 4, ntyp = 3
/
ATOMIC_SPECIES
Cl 35.45 Cl.upf
Zn 65.41 Zn.upf
Br 79.90 Br.upf
CELL_PARAMETERS angstrom
-3.220 0.327 0.947
-2.309 -2.204 -1.087
-0.082 -6.408 7.942
ATOMIC_POSITIONS angstrom
Cl -1.213 -2.695 2.812
Zn -2.806 -4.143 3.901
Cl -4.399 -5.590 4.990
Br 0.000 0.000 0.000
! Crystal system   trigonal
! Spin magnetization   0.138 μB per atom
! Space group   R-3m


Energies in meV per atom, measured from the most stable structure: w 150; x 692; y 0.


## w
! Co2Br meta-GGA SCAN PBEsol geometry; values from VASP
&SYSTEM
  ibrav = 0, nat = 6, ntyp = 2
/
ATOMIC_SPECIES
Co 58.93 Co.upf
Br 79.90 Br.upf
CELL_PARAMETERS angstrom
4.690 0.000 0.000
-2.345 4.592 -0.046
0.000 -2.355 4.056
ATOMIC_POSITIONS angstrom
Co 3.198 -0.428 0.737
Co 1.492 -1.927 3.319
Co 0.853 -0.749 1.291
Br 0.000 1.707 0.991
Co 3.837 -1.606 2.765
Br 2.345 0.530 3.019
! Crystal system   tetragonal
! Spin magnetization   1.212 μB per atom
! Space group   I4/mcm


## x
! Co2Br meta-GGA SCAN PBEsol geometry; values from VASP
&SYSTEM
  ibrav = 0, nat = 6, ntyp = 2
/
ATOMIC_SPECIES
Br 79.90 Br.upf
Co 58.93 Co.upf
CELL_PARAMETERS angstrom
-2.863 -1.488 1.510
-1.482 -0.366 -3.170
4.814 -6.515 -1.497
ATOMIC_POSITIONS angstrom
Br 1.941 -5.051 -1.300
Br -1.471 -3.319 -1.858
Co 1.252 -7.390 -0.708
Co -1.461 -1.568 -0.113
Co 1.930 -6.802 -3.045
Co -0.783 -0.980 -2.450
! Crystal system   orthorhombic
! Spin magnetization   1.315 μB per atom
! Space group   Cmcm


## y
! Co2Br meta-GGA SCAN PBEsol geometry; values from VASP
&SYSTEM
  ibrav = 0, nat = 6, ntyp = 2
/
ATOMIC_SPECIES
Co 58.93 Co.upf
Br 79.90 Br.upf
CELL_PARAMETERS angstrom
3.312 0.000 0.000
-1.656 3.755 -0.011
0.000 -1.968 8.287
ATOMIC_POSITIONS angstrom
Co 1.656 -1.512 7.139
Co 0.000 3.299 1.136
Co 1.656 0.692 7.765
Co 0.000 1.094 0.510
Br 1.656 1.709 2.569
Br 0.000 0.078 5.706
! Crystal system   monoclinic
! Spin magnetization   1.307 μB per atom
! Space group   C2/m


## z
! Co2Br meta-GGA SCAN PBEsol geometry; values from VASP
&SYSTEM
  ibrav = 0, nat = 6, ntyp = 2
/
ATOMIC_SPECIES
Br 79.90 Br.upf
Co 58.93 Co.upf
CELL_PARAMETERS angstrom
3.063 0.000 0.000
-1.532 5.554 -0.099
0.000 -2.887 5.496
ATOMIC_POSITIONS angstrom
Br 1.532 2.845 3.792
Co 0.000 0.812 3.766
Br 0.000 -0.178 1.605
Co 1.532 1.854 1.632
Co 1.532 -0.667 4.738
Co 0.000 3.333 0.659
! Crystal system   monoclinic
! Spin magnetization   1.321 μB per atom
! Space group   C2/m


Energies in meV per atom, measured from the most stable structure: w 589; x 0; y 151; z 505.


## w
! Co2CuBr meta-GGA SCAN PBEsol geometry; values from VASP
&SYSTEM
  ibrav = 0, nat = 4, ntyp = 3
/
ATOMIC_SPECIES
Co 58.93 Co.upf
Br 79.90 Br.upf
Cu 63.55 Cu.upf
CELL_PARAMETERS angstrom
-1.250 -1.161 2.411
-1.096 -2.294 -1.673
5.414 -3.459 1.141
ATOMIC_POSITIONS angstrom
Co 2.711 -4.965 0.824
Br 0.400 -1.960 1.072
Cu 2.748 -2.519 0.212
Co 4.782 -3.806 0.647
! Crystal system   monoclinic
! Spin magnetization   0.984 μB per atom
! Space group   Pm


## x
! Co2CuBr meta-GGA SCAN PBEsol geometry; values from VASP
&SYSTEM
  ibrav = 0, nat = 4, ntyp = 3
/
ATOMIC_SPECIES
Br 79.90 Br.upf
Co 58.93 Co.upf
Cu 63.55 Cu.upf
CELL_PARAMETERS angstrom
2.732 0.093 0.000
-1.270 2.421 0.000
0.000 0.000 8.083
ATOMIC_POSITIONS angstrom
Br 0.731 1.257 0.000
Co 0.000 0.000 2.131
Cu 0.731 1.257 4.042
Co 0.000 0.000 5.952
! Crystal system   orthorhombic
! Spin magnetization   0.976 μB per atom
! Space group   Cmmm


Energies in meV per atom, measured from the most stable structure: w 0; x 391.